No. 1
Computed, not measured: an optimized crystal structure of UMnH2O6 at the GGA+U level of DFT.

Properties
* space-group type: No. 2

Cell: 5.155 5.403 5.493 Å, 64.35 62.75 56.97°
Last column: magnetic moment on the atom in μB.
Fractional positions:
H: 0.243 0.926 0.752  0.00
O: 0.438 0.737 0.779  -0.03
H: 0.389 0.706 0.351  0.00
O: 0.194 0.896 0.324  -0.03
Mn: 0.816 0.816 0.552  3.16
O: 0.577 0.166 0.307  -0.04
O: 0.694 0.060 0.794  -0.05
O: 0.055 0.467 0.796  -0.04
O: 0.939 0.572 0.309  -0.05
U: 0.316 0.316 0.052  0.03

=====

No. 2
Computed, not measured: an optimized crystal structure of Mn2HWO at the GGA+U level of DFT.

Properties
* space-group type: No. 123
* DOS at the Fermi energy: 0.402 states/eV per atom

Cell: 3.924 4.847 3.924 Å, 90.00 90.00 90.00°
Last column: magnetic moment on the atom in μB.
Fractional positions:
Mn: 0.500 0.000 0.000  4.13
O: 0.000 0.000 0.000  -0.04
H: 0.000 0.500 0.000  0.12
W: 0.500 0.500 0.500  -3.32
Mn: 0.000 0.000 0.500  4.21

=====

| no. | raw total energy (Ry/atom) | total magnetization (μB/atom) |
| --- | --- | --- |
| 1 | -0.5429 | 0.30 |
| 2 | -0.4139 | 0.88 |